Entry from Alexandria: a relaxed structure of LiPrWN3 (PBE-GGA).

Output
ΔE_f (raw)	-0.711	eV/atom
density	4.49	Mg/m³
Fermi-level density of states	0.00	states/eV/cell

a b c (Å): 12.385 6.713 7.374
angles (deg): 90.00 115.69 90.00
Space group C2/m (No. 12)
Asymmetric unit:
Li (0.000, 0.220, 0.000) [4 per cell]
Pr (0.238, 0.500, 0.865) [4 per cell]
W (0.025, 0.000, 0.713) [4 per cell]
N (0.112, 0.000, 0.256) [4 per cell]
N (0.115, 0.215, 0.855) [8 per cell]

---

Entry from Alexandria: a relaxed structure of LiPrZr2N4 (PBE-GGA).

Output
ΔE_f (raw)	-1.398	eV/atom
density	6.34	Mg/m³
Fermi-level density of states	1.99	states/eV/cell

a b c (Å): 3.331 10.907 11.149
angles (deg): 90.00 90.00 90.00
Space group Cmcm (No. 63)
Asymmetric unit:
Li (0.000, 0.159, 0.250) [4 per cell]
Pr (0.000, 0.106, 0.750) [4 per cell]
Zr (0.000, 0.366, 0.557) [8 per cell]
N (0.000, 0.000, 0.000) [4 per cell]
N (0.000, 0.262, 0.111) [8 per cell]
N (0.000, 0.439, 0.750) [4 per cell]

---

Entry from Alexandria: a relaxed structure of LiPtN (PBE-GGA).

Output
ΔE_f (raw)	0.075	eV/atom
density	8.99	Mg/m³
Fermi-level density of states	2.80	states/eV/cell
offset from the most stable computed form	0.630	eV/f.u.

a b c (Å): 8.645 3.272 5.642
angles (deg): 90.00 90.00 90.00
Space group Pnma (No. 62)
Asymmetric unit:
Li (0.137, 0.250, 0.110) [4 per cell]
Pt (0.087, 0.250, 0.638) [4 per cell]
N (0.127, 0.750, 0.811) [4 per cell]

---

Entry from Alexandria: a relaxed structure of LiPtN (PBE-GGA).

Output
ΔE_f (raw)	-0.135	eV/atom
density	7.65	Mg/m³
Fermi-level density of states	0.34	states/eV/cell
offset from the most stable computed form	0.000	eV/f.u.

a b c (Å): 3.8280 3.8280 3.6951
angles (deg): 90.00 90.00 120.00
Space group P-6m2 (No. 187)
Asymmetric unit:
Li (0.0000, 0.0000, 0.0000) [1 per cell]
Pt (0.6667, 0.3333, 0.5000) [1 per cell]
N (0.6667, 0.3333, 0.0000) [1 per cell]

---

Let's list calculated total energy in order: -8.148 -8.535 -5.352 -5.562 eV per atom.